A geometry-optimized GdUBi structure, computed with PBE.

Summary:
spin magnetization	5.564	Bohr magnetons per cell
space-group type	F-43m (216)
raw total energy	-0.2174	Ha/atom

a = 5.292 Å, b = 5.292 Å, c = 5.292 Å
α = 60.00°, β = 60.00°, γ = 60.00°
Positions (direct):
Gd  0.000  0.000  0.000
U  0.750  0.750  0.750
Bi  0.500  0.500  0.500



A geometry-optimized GaAgPd2 structure, computed with PBE.

Summary:
space-group type	F-43m (216)
raw total energy	-0.1588	Ha/atom

a = 4.473 Å, b = 4.473 Å, c = 4.473 Å
α = 60.00°, β = 60.00°, γ = 60.00°
Positions (direct):
Ga  0.000  0.000  0.000
Ag  0.250  0.250  0.250
Pd  0.500  0.500  0.500
Pd  0.750  0.750  0.750



A geometry-optimized TbGd2P2N6 structure, computed with PBE.

Summary:
spin magnetization	0.011	Bohr magnetons per cell
space-group type	I4/mmm (139)
raw total energy	-0.2819	Ha/atom

a = 9.746 Å, b = 9.746 Å, c = 9.746 Å
α = 158.19°, β = 158.19°, γ = 31.03°
Positions (direct):
Tb  0.000  0.000  0.000
Gd  0.179  0.179  0.000
Gd  0.821  0.821  0.000
P  0.394  0.394  0.000
P  0.606  0.606  0.000
N  0.086  0.586  0.500
N  0.305  0.305  0.000
N  0.414  0.914  0.500
N  0.586  0.086  0.500
N  0.695  0.695  0.000
N  0.914  0.414  0.500



A geometry-optimized Lu4InAsC2 structure, computed with PBE.

Summary:
spin magnetization	0.203	Bohr magnetons per cell
space-group type	P-6m2 (187)
raw total energy	-0.2249	Ha/atom

a = 3.537 Å, b = 3.537 Å, c = 14.828 Å
α = 90.00°, β = 90.00°, γ = 120.00°
Positions (direct):
Lu  0.000  0.000  0.143
Lu  0.000  0.000  0.857
Lu  0.333  0.667  0.318
Lu  0.333  0.667  0.682
In  0.000  0.000  0.500
As  0.333  0.667  0.000
C  0.667  0.333  0.232
C  0.667  0.333  0.768



A geometry-optimized SrZn2Ir structure, computed with PBE.

Summary:
spin magnetization	0.007	Bohr magnetons per cell
space-group type	F-43m (216)
raw total energy	-0.1147	Ha/atom

a = 4.796 Å, b = 4.796 Å, c = 4.796 Å
α = 60.00°, β = 60.00°, γ = 60.00°
Positions (direct):
Sr  0.000  0.000  0.000
Zn  0.500  0.500  0.500
Zn  0.750  0.750  0.750
Ir  0.250  0.250  0.250



A geometry-optimized PmFePt structure, computed with PBE.

Summary:
E above lowest polymorph	589.9	meV per atom
spin magnetization	2.949	Bohr magnetons per cell
space-group type	F-43m (216)
raw total energy	-0.2192	Ha/atom

a = 4.650 Å, b = 4.650 Å, c = 4.650 Å
α = 60.00°, β = 60.00°, γ = 60.00°
Positions (direct):
Pm  0.000  0.000  0.000
Fe  0.750  0.750  0.750
Pt  0.250  0.250  0.250



A geometry-optimized IrSe2 structure, computed with PBE.

Summary:
spin magnetization	0.016	Bohr magnetons per cell
space-group type	P4_2/mnm (136)
raw total energy	-0.1961	Ha/atom

a = 5.656 Å, b = 5.656 Å, c = 3.941 Å
α = 90.00°, β = 90.00°, γ = 90.00°
Positions (direct):
Ir  0.000  0.000  0.000
Ir  0.500  0.500  0.500
Se  0.191  0.191  0.500
Se  0.309  0.691  0.000
Se  0.691  0.309  0.000
Se  0.809  0.809  0.500



A geometry-optimized KAgTe2MoS structure, computed with PBE.

Summary:
spin magnetization	4.065	Bohr magnetons per cell
space-group type	Cmcm (63)
raw total energy	-0.1630	Ha/atom

a = 8.142 Å, b = 8.142 Å, c = 10.180 Å
α = 90.00°, β = 90.00°, γ = 150.82°
Positions (direct):
K  0.245  0.755  0.750
K  0.755  0.245  0.250
Ag  0.461  0.539  0.250
Ag  0.539  0.461  0.750
Te  0.375  0.625  0.020
Te  0.375  0.625  0.480
Te  0.625  0.375  0.520
Te  0.625  0.375  0.980
Mo  0.000  0.000  0.000
Mo  0.000  0.000  0.500
S  0.053  0.947  0.250
S  0.947  0.053  0.750



A geometry-optimized CsCoGeTe3 structure, computed with PBE.

Summary:
spin magnetization	0.000	Bohr magnetons per cell
space-group type	P2_1/m (11)
raw total energy	-0.1471	Ha/atom

a = 9.430 Å, b = 3.998 Å, c = 11.254 Å
α = 90.00°, β = 113.56°, γ = 90.00°
Positions (direct):
Cs  0.221  0.250  0.268
Cs  0.779  0.750  0.732
Co  0.371  0.750  0.849
Co  0.629  0.250  0.151
Ge  0.112  0.250  0.549
Ge  0.888  0.750  0.451
Te  0.172  0.250  0.803
Te  0.337  0.750  0.602
Te  0.437  0.750  0.090
Te  0.563  0.250  0.910
Te  0.663  0.250  0.398
Te  0.828  0.750  0.197



A geometry-optimized Hf8Cd2C3N3 structure, computed with PBE.

Summary:
spin magnetization	0.003	Bohr magnetons per cell
space-group type	P-3m1 (164)
raw total energy	-0.3469	Ha/atom

a = 3.266 Å, b = 3.266 Å, c = 25.332 Å
α = 90.00°, β = 90.00°, γ = 120.00°
Positions (direct):
Hf  0.000  0.000  0.150
Hf  0.000  0.000  0.346
Hf  0.000  0.000  0.654
Hf  0.000  0.000  0.850
Hf  0.333  0.667  0.551
Hf  0.333  0.667  0.948
Hf  0.667  0.333  0.052
Hf  0.667  0.333  0.449
Cd  0.333  0.667  0.753
Cd  0.667  0.333  0.247
C  0.000  0.000  0.500
C  0.333  0.667  0.391
C  0.667  0.333  0.609
N  0.000  0.000  0.000
N  0.333  0.667  0.102
N  0.667  0.333  0.898



A geometry-optimized AcNbPO structure, computed with PBE.

Summary:
E above lowest polymorph	493.6	meV per atom
spin magnetization	0.210	Bohr magnetons per cell
space-group type	Pmc2_1 (26)
raw total energy	-0.2788	Ha/atom

a = 4.661 Å, b = 6.342 Å, c = 6.125 Å
α = 90.00°, β = 90.00°, γ = 90.00°
Positions (direct):
Ac  0.000  0.226  0.000
Ac  0.000  0.774  0.500
Nb  0.500  0.372  0.563
Nb  0.500  0.628  0.063
P  0.000  0.269  0.504
P  0.000  0.731  0.004
O  0.500  0.341  0.897
O  0.500  0.659  0.397



A geometry-optimized GdNbPb structure, computed with PBE.

Summary:
E above lowest polymorph	0.0	meV per atom
spin magnetization	1.290	Bohr magnetons per cell
space-group type	F-43m (216)
raw total energy	-0.2098	Ha/atom

a = 4.930 Å, b = 4.930 Å, c = 4.930 Å
α = 60.00°, β = 60.00°, γ = 60.00°
Positions (direct):
Gd  0.000  0.000  0.000
Nb  0.500  0.500  0.500
Pb  0.250  0.250  0.250